This record from Alexandria describes crystalline RbNa2CeCl6 at its relaxed geometry. The functional is PBE.

a b c (Å): 7.365 7.365 7.883
angles (deg): 62.15 62.15 60.01
Atoms (fractional coordinates):
Cl (0.724, 0.172, 0.757)
Cl (0.248, 0.926, 0.232)
Cl (0.594, 0.248, 0.232)
Cl (0.172, 0.347, 0.757)
Cl (0.926, 0.594, 0.232)
Cl (0.347, 0.724, 0.757)
Rb (0.801, 0.801, 0.598)
Na (0.520, 0.520, 0.440)
Na (0.008, 0.008, 0.977)
Ce (0.322, 0.322, 0.035)

Output
Density of states at the Fermi level in states/eV/atom: 0.8122
Energy relative to the elements, uncorrected in eV/atom: -2.00
V in Å³/cell: 311.8
Total energy in eV per atom: -4.066



This record from Alexandria describes crystalline HfMgO at its relaxed geometry. The functional is PBE.

a b c (Å): 2.991 3.115 5.969
angles (deg): 83.09 75.49 61.30
Atoms (fractional coordinates):
O (0.993, 0.000, 0.014)
Hf (0.636, 0.000, 0.727)
Mg (0.371, 0.000, 0.259)

Output
Density of states at the Fermi level in states/eV/atom: 0.0436
Energy relative to the elements, uncorrected in eV/atom: -1.34
V in Å³/cell: 47.2
Total energy in eV per atom: -6.842



This record from Alexandria describes crystalline K2TaOs at its relaxed geometry. The functional is PBE.

a b c (Å): 2.726 6.040 5.465
angles (deg): 90.00 90.00 90.00
Atoms (fractional coordinates):
K (0.000, 0.000, 0.005)
K (0.000, 0.000, 0.495)
Ta (0.500, 0.500, 0.750)
Os (0.500, 0.500, 0.250)

Output
Energy relative to the elements in meV/atom: 1345
Density of states at the Fermi level in states/eV/atom: 0.9450
V in Å³/cell: 90.0
Total energy in eV per atom: -4.974